[1]
# SCAN InTcI3, single point on PBEsol structure
# total DFT energy (no corrections)	-178.09	eV per cell
# formation energy without anion corrections	0.116	eV/atom
data_InTcI3
_chemical_formula_sum 'In1 Tc1 I3'
_cell_length_a 5.471
_cell_length_b 5.471
_cell_length_c 5.471
_cell_angle_alpha 90.00
_cell_angle_beta 90.00
_cell_angle_gamma 90.00
_symmetry_space_group_name_H-M 'P m -3 m'
_symmetry_Int_Tables_number 221
_symmetry_space_group_name_Hall '-P 4 2 3'
loop_
_atom_site_label
_atom_site_type_symbol
_atom_site_fract_x
_atom_site_fract_y
_atom_site_fract_z
_atom_site_occupancy
In1 In 0.000 0.000 0.000 1
Tc1 Tc 0.500 0.500 0.500 1
I1 I 0.000 0.500 0.500 1

---

[2]
# SCAN In2Te2I, single point on PBEsol structure
# relative energy among the computed polymorphs	81	meV/atom
# total DFT energy (no corrections)	-357.81	eV per cell
# formation energy without anion corrections	-0.178	eV/atom
data_In2Te2I
_chemical_formula_sum 'In4 Te4 I2'
_cell_length_a 5.283
_cell_length_b 5.283
_cell_length_c 10.951
_cell_angle_alpha 90.00
_cell_angle_beta 90.00
_cell_angle_gamma 90.00
_symmetry_space_group_name_H-M 'I 4/m m m'
_symmetry_Int_Tables_number 139
_symmetry_space_group_name_Hall '-I 4 2'
loop_
_atom_site_label
_atom_site_type_symbol
_atom_site_fract_x
_atom_site_fract_y
_atom_site_fract_z
_atom_site_occupancy
In1 In 0.000 0.000 0.126 1
Te1 Te 0.000 0.500 0.250 1
I1 I 0.000 0.000 0.500 1

---

[3]
# SCAN In3Te3I, single point on PBEsol structure
# total DFT energy (no corrections)	-1006.39	eV per cell
# formation energy without anion corrections	-0.420	eV/atom
data_In3Te3I
_chemical_formula_sum 'In12 Te12 I4'
_cell_length_a 11.599
_cell_length_b 4.306
_cell_length_c 19.676
_cell_angle_alpha 90.00
_cell_angle_beta 90.00
_cell_angle_gamma 90.00
_symmetry_space_group_name_H-M 'P n m a'
_symmetry_Int_Tables_number 62
loop_
_symmetry_equiv_pos_as_xyz
'x,y,z'
'-x,-y,-z'
'-x+1/2,-y,z+1/2'
'x+1/2,y,-z+1/2'
'x+1/2,-y+1/2,-z+1/2'
'-x+1/2,y+1/2,z+1/2'
'-x,y+1/2,-z'
'x,-y+1/2,z'
loop_
_atom_site_label
_atom_site_type_symbol
_atom_site_fract_x
_atom_site_fract_y
_atom_site_fract_z
_atom_site_occupancy
In1 In 0.056 0.250 0.107 1
In2 In 0.152 0.250 0.634 1
In3 In 0.181 0.250 0.986 1
Te1 Te 0.089 0.250 0.853 1
Te2 Te 0.157 0.250 0.491 1
Te3 Te 0.242 0.250 0.202 1
I1 I 0.075 0.750 0.326 1

---

[4]
# SCAN In2Te2I, single point on PBEsol structure
# relative energy among the computed polymorphs	0	meV/atom
# total DFT energy (no corrections)	-358.61	eV per cell
# formation energy without anion corrections	-0.258	eV/atom
data_In2Te2I
_chemical_formula_sum 'In4 Te4 I2'
_cell_length_a 5.099
_cell_length_b 5.099
_cell_length_c 12.723
_cell_angle_alpha 90.00
_cell_angle_beta 90.00
_cell_angle_gamma 90.00
_symmetry_space_group_name_H-M 'I 4/m m m'
_symmetry_Int_Tables_number 139
_symmetry_space_group_name_Hall '-I 4 2'
loop_
_atom_site_label
_atom_site_type_symbol
_atom_site_fract_x
_atom_site_fract_y
_atom_site_fract_z
_atom_site_occupancy
In1 In 0.000 0.500 0.250 1
Te1 Te 0.000 0.000 0.137 1
I1 I 0.000 0.000 0.500 1

---

[5]
# SCAN TlInTeI2, single point on PBEsol structure
# total DFT energy (no corrections)	-216.48	eV per cell
# formation energy without anion corrections	0.000	eV/atom
data_TlInTeI2
_chemical_formula_sum 'Tl1 In1 Te1 I2'
_cell_length_a 5.971
_cell_length_b 5.971
_cell_length_c 5.704
_cell_angle_alpha 90.00
_cell_angle_beta 90.00
_cell_angle_gamma 90.00
_symmetry_space_group_name_H-M 'P 4/m m m'
_symmetry_Int_Tables_number 123
_symmetry_space_group_name_Hall '-P 4 2'
loop_
_atom_site_label
_atom_site_type_symbol
_atom_site_fract_x
_atom_site_fract_y
_atom_site_fract_z
_atom_site_occupancy
Tl1 Tl 0.000 0.000 0.000 1
In1 In 0.500 0.500 0.500 1
Te1 Te 0.000 0.000 0.500 1
I1 I 0.000 0.500 0.000 1

---

[6]
# SCAN ZnInTe2I, single point on PBEsol structure
# total DFT energy (no corrections)	-155.86	eV per cell
# formation energy without anion corrections	0.457	eV/atom
data_ZnInTe2I
_chemical_formula_sum 'Zn1 In1 Te2 I1'
_cell_length_a 5.625
_cell_length_b 5.625
_cell_length_c 5.735
_cell_angle_alpha 90.00
_cell_angle_beta 90.00
_cell_angle_gamma 90.00
_symmetry_space_group_name_H-M 'P 4/m m m'
_symmetry_Int_Tables_number 123
_symmetry_space_group_name_Hall '-P 4 2'
loop_
_atom_site_label
_atom_site_type_symbol
_atom_site_fract_x
_atom_site_fract_y
_atom_site_fract_z
_atom_site_occupancy
Zn1 Zn 0.000 0.000 0.000 1
In1 In 0.500 0.500 0.500 1
Te1 Te 0.000 0.500 0.500 1
I1 I 0.500 0.500 0.000 1

---

[7]
# SCAN TiInI3, single point on PBEsol structure
# total DFT energy (no corrections)	-158.48	eV per cell
# formation energy without anion corrections	0.231	eV/atom
data_TiInI3
_chemical_formula_sum 'Ti1 In1 I3'
_cell_length_a 5.825
_cell_length_b 5.825
_cell_length_c 5.825
_cell_angle_alpha 90.00
_cell_angle_beta 90.00
_cell_angle_gamma 90.00
_symmetry_space_group_name_H-M 'P m -3 m'
_symmetry_Int_Tables_number 221
_symmetry_space_group_name_Hall '-P 4 2 3'
loop_
_atom_site_label
_atom_site_type_symbol
_atom_site_fract_x
_atom_site_fract_y
_atom_site_fract_z
_atom_site_occupancy
Ti1 Ti 0.000 0.000 0.000 1
In1 In 0.500 0.500 0.500 1
I1 I 0.000 0.500 0.500 1

---

[8]
# SCAN Y3InI, single point on PBEsol structure
# relative energy among the computed polymorphs	0	meV/atom
# total DFT energy (no corrections)	-153.38	eV per cell
# formation energy without anion corrections	0.056	eV/atom
data_Y3InI
_chemical_formula_sum 'Y3 In1 I1'
_cell_length_a 5.496
_cell_length_b 5.496
_cell_length_c 5.496
_cell_angle_alpha 90.00
_cell_angle_beta 90.00
_cell_angle_gamma 90.00
_symmetry_space_group_name_H-M 'P m -3 m'
_symmetry_Int_Tables_number 221
_symmetry_space_group_name_Hall '-P 4 2 3'
loop_
_atom_site_label
_atom_site_type_symbol
_atom_site_fract_x
_atom_site_fract_y
_atom_site_fract_z
_atom_site_occupancy
Y1 Y 0.000 0.000 0.500 1
In1 In 0.500 0.500 0.500 1
I1 I 0.000 0.000 0.000 1

---

[9]
# SCAN Zr3InI, single point on PBEsol structure
# total DFT energy (no corrections)	-158.46	eV per cell
# formation energy without anion corrections	0.752	eV/atom
data_Zr3InI
_chemical_formula_sum 'Zr3 In1 I1'
_cell_length_a 5.166
_cell_length_b 5.166
_cell_length_c 5.166
_cell_angle_alpha 90.00
_cell_angle_beta 90.00
_cell_angle_gamma 90.00
_symmetry_space_group_name_H-M 'P m -3 m'
_symmetry_Int_Tables_number 221
_symmetry_space_group_name_Hall '-P 4 2 3'
loop_
_atom_site_label
_atom_site_type_symbol
_atom_site_fract_x
_atom_site_fract_y
_atom_site_fract_z
_atom_site_occupancy
Zr1 Zr 0.000 0.000 0.500 1
In1 In 0.500 0.500 0.500 1
I1 I 0.000 0.000 0.000 1

---

[10]
# SCAN ZrInI3, single point on PBEsol structure
# total DFT energy (no corrections)	-176.17	eV per cell
# formation energy without anion corrections	-0.373	eV/atom
data_ZrInI3
_chemical_formula_sum 'Zr1 In1 I3'
_cell_length_a 5.667
_cell_length_b 5.667
_cell_length_c 5.667
_cell_angle_alpha 90.00
_cell_angle_beta 90.00
_cell_angle_gamma 90.00
_symmetry_space_group_name_H-M 'P m -3 m'
_symmetry_Int_Tables_number 221
_symmetry_space_group_name_Hall '-P 4 2 3'
loop_
_atom_site_label
_atom_site_type_symbol
_atom_site_fract_x
_atom_site_fract_y
_atom_site_fract_z
_atom_site_occupancy
Zr1 Zr 0.000 0.000 0.000 1
In1 In 0.500 0.500 0.500 1
I1 I 0.000 0.000 0.500 1

---

[11]
# SCAN IrI3, single point on PBEsol structure
# total DFT energy (no corrections)	-728.05	eV per cell
# formation energy without anion corrections	-0.172	eV/atom
data_IrI3
_chemical_formula_sum 'Ir4 I12'
_cell_length_a 6.806
_cell_length_b 11.789
_cell_length_c 6.798
_cell_angle_alpha 90.00
_cell_angle_beta 107.41
_cell_angle_gamma 90.00
_symmetry_space_group_name_H-M 'C 1 2/m 1'
_symmetry_Int_Tables_number 12
loop_
_symmetry_equiv_pos_as_xyz
'x,y,z'
'-x,-y,-z'
'-x,y,-z'
'x,-y,z'
'x+1/2,y+1/2,z'
'-x+1/2,-y+1/2,-z'
'-x+1/2,y+1/2,-z'
'x+1/2,-y+1/2,z'
loop_
_atom_site_label
_atom_site_type_symbol
_atom_site_fract_x
_atom_site_fract_y
_atom_site_fract_z
_atom_site_occupancy
Ir1 Ir 0.000 0.167 0.000 1
I1 I 0.214 0.000 0.229 1
I2 I 0.245 0.323 0.228 1

---

[12]
# SCAN K2NaIrI, single point on PBEsol structure
# total DFT energy (no corrections)	-126.90	eV per cell
# formation energy without anion corrections	0.362	eV/atom
data_K2NaIrI
_chemical_formula_sum 'K2 Na1 Ir1 I1'
_cell_length_a 6.249
_cell_length_b 6.249
_cell_length_c 4.927
_cell_angle_alpha 90.00
_cell_angle_beta 90.00
_cell_angle_gamma 90.00
_symmetry_space_group_name_H-M 'P 4/m m m'
_symmetry_Int_Tables_number 123
_symmetry_space_group_name_Hall '-P 4 2'
loop_
_atom_site_label
_atom_site_type_symbol
_atom_site_fract_x
_atom_site_fract_y
_atom_site_fract_z
_atom_site_occupancy
K1 K 0.000 0.500 0.000 1
Na1 Na 0.000 0.000 0.000 1
Ir1 Ir 0.000 0.000 0.500 1
I1 I 0.500 0.500 0.500 1

---

[13]
# SCAN La3IrI3, single point on PBEsol structure
# total DFT energy (no corrections)	-2566.37	eV per cell
# formation energy without anion corrections	-1.451	eV/atom
data_La3IrI3
_chemical_formula_sum 'La24 Ir8 I24'
_cell_length_a 12.402
_cell_length_b 12.402
_cell_length_c 12.402
_cell_angle_alpha 90.00
_cell_angle_beta 90.00
_cell_angle_gamma 90.00
_symmetry_space_group_name_H-M 'I 41 3 2'
_symmetry_Int_Tables_number 214
_symmetry_space_group_name_Hall 'I 4bd 2c 3'
loop_
_atom_site_label
_atom_site_type_symbol
_atom_site_fract_x
_atom_site_fract_y
_atom_site_fract_z
_atom_site_occupancy
La1 La 0.105 0.355 0.125 1
Ir1 Ir 0.125 0.125 0.125 1
I1 I 0.113 0.137 0.625 1